Entry 1:
## U3N (PBE)

Data for an optimized crystal structure of U3N.

Summary:
For the calculated total energy, the calculation gives -10.587 eV per atom. The excess energy over the best structure of this formula in the dataset is 0 meV per atom. The uncorrected formation energy comes out at -0.040 eV per atom.

POSCAR file:
```
U3N
1.0
-2.728 1.747 -1.328
-2.053 -2.780 0.559
-1.214 1.902 4.998
U N
3 1
Direct
0.500 0.000 0.417
0.500 0.500 0.821
0.000 0.000 0.012
0.000 0.500 0.417
```

Entry 2:
## U4N7 (PBE)

Data for an optimized crystal structure of U4N7.

Summary:
For the calculated total energy, the calculation gives -10.837 eV per atom. The uncorrected formation energy comes out at -1.435 eV per atom.

POSCAR file:
```
U4N7
1.0
-1.283 9.116 0.002
-7.278 -4.139 3.828
7.568 -2.028 4.834
N U
28 16
Direct
0.731 0.005 0.500
0.778 0.752 0.268
0.258 0.758 0.230
0.733 0.233 0.270
0.758 0.528 0.500
0.528 0.028 0.770
0.747 0.769 0.753
0.483 0.509 0.732
0.516 0.269 0.022
0.028 0.258 0.500
0.016 0.994 0.247
0.963 0.463 0.730
0.509 0.778 0.026
0.983 0.252 0.974
0.233 0.963 0.500
0.994 0.747 0.978
0.463 0.733 0.500
0.752 0.483 0.974
0.769 0.016 0.022
0.005 0.505 0.274
0.247 0.494 0.978
0.252 0.278 0.268
0.269 0.247 0.753
0.278 0.009 0.026
0.009 0.983 0.732
0.505 0.231 0.500
0.231 0.731 0.726
0.494 0.516 0.247
0.243 0.499 0.227
0.017 0.243 0.744
0.005 0.005 0.000
0.272 0.017 0.773
0.733 0.758 0.500
0.479 0.979 0.500
0.517 0.772 0.773
0.499 0.272 0.256
0.999 0.743 0.227
0.758 0.258 0.025
0.979 0.479 0.500
0.505 0.505 0.000
0.743 0.517 0.744
0.258 0.233 0.500
0.233 0.733 0.975
0.772 0.999 0.256
```

Entry 3:
## U3N (PBE)

Data for an optimized crystal structure of U3N.

Summary:
For the calculated total energy, the calculation gives -10.247 eV per atom. The excess energy over the best structure of this formula in the dataset is 340 meV per atom. The uncorrected formation energy comes out at 0.300 eV per atom.

POSCAR file:
```
U3N
1.0
4.036 0.000 0.000
0.000 4.036 0.000
0.000 0.000 4.036
N U
1 3
Direct
0.000 0.000 0.000
0.500 0.500 0.000
0.000 0.500 0.500
0.500 0.000 0.500
```

Entry 4:
## U16N25 (PBE)

Data for an optimized crystal structure of U16N25.

Summary:
For the calculated total energy, the calculation gives -10.888 eV per atom. The uncorrected formation energy comes out at -1.407 eV per atom.

POSCAR file:
```
U16N25
1.0
-0.913 -6.198 6.787
3.820 -4.037 -7.377
5.383 6.940 2.858
N U
25 16
Direct
0.506 0.761 0.532
0.236 0.266 0.758
0.015 0.020 0.269
0.266 0.758 0.236
0.523 0.265 0.994
0.532 0.506 0.761
0.740 0.978 0.976
0.999 0.472 0.735
0.761 0.532 0.506
0.232 0.762 0.731
0.472 0.735 0.999
0.976 0.740 0.978
0.269 0.015 0.020
0.513 0.230 0.480
0.731 0.232 0.762
0.480 0.513 0.230
0.994 0.523 0.265
0.020 0.269 0.015
0.230 0.480 0.513
0.268 0.268 0.268
0.735 0.999 0.472
0.978 0.976 0.740
0.762 0.731 0.232
0.758 0.236 0.266
0.265 0.994 0.523
0.021 0.021 0.021
0.500 0.499 0.995
0.769 0.250 0.022
0.022 0.769 0.250
0.251 0.506 0.274
0.732 0.752 0.478
0.752 0.478 0.732
0.274 0.251 0.506
0.250 0.022 0.769
0.478 0.732 0.752
0.979 0.227 0.749
0.499 0.995 0.500
0.506 0.274 0.251
0.227 0.749 0.979
0.749 0.979 0.227
0.995 0.500 0.499
```